PrGaPO: relaxed, GGA-PBE.

abc: 4.3214 4.3214 9.4596
angles: 90.00 90.00 90.00
Last column: nearest neighbours and their distance in Å.
Space group P4/nmm (No. 129, origin choice 2)
Symmetry-distinct sites (fractional):
1 Pr 0.2500 0.7500 0.0000 (multiplicity 2)  4 P 2.84, 4 Pr 3.06
2 Ga 0.2500 0.2500 0.4445 (multiplicity 2)  4 O 2.22, 1 P 2.36
3 P 0.2500 0.2500 0.1951 (multiplicity 2)  1 Ga 2.36
4 O 0.2500 0.7500 0.5000 (multiplicity 2)  4 Ga 2.22

M_tot: 0.01 μB per cell
total energy: -41.0 eV per cell
volume: 88 Å³/f.u.